# 1
SbTeW2, relaxed, DFT PBE-GGA; N(E_F) = 0.811 states/eV/atom; E_tot = -30.36 eV/cell; formation energy (no corrections) = 0.70 eV per atom
1.0
-3.181 0.820 -0.553
-0.157 -2.258 -2.444
-1.953 -4.619 4.392
Sb Te W
1 1 2
direct
0.500 0.500 0.250
0.500 0.500 0.750
0.000 0.000 0.001
0.000 0.000 0.499

=====

# 2
Sr2CeBr6, relaxed, DFT PBE-GGA; N(E_F) = 1.011 states/eV/atom; E_tot = -36.41 eV/cell; formation energy (no corrections) = -1.90 eV per atom
1.0
-3.491 -0.479 -2.577
2.470 -7.585 1.762
-6.660 2.655 8.529
Sr Ce Br
2 1 6
direct
0.668 0.337 0.829
0.332 0.663 0.171
0.000 0.000 0.500
0.308 0.616 0.886
0.692 0.384 0.114
0.973 0.946 0.219
0.643 0.285 0.547
0.027 0.054 0.781
0.357 0.715 0.453

=====

# 3
PmAg2F8, relaxed, DFT PBE-GGA; N(E_F) = 0.509 states/eV/atom; E_tot = -97.61 eV/cell; formation energy (no corrections) = -2.13 eV per atom
1.0
7.137 0.000 3.150
3.870 5.238 0.892
-0.300 -1.949 10.340
F Ag Pm
16 4 2
direct
0.341 0.817 0.587
0.128 0.012 0.240
0.741 0.893 0.155
0.041 0.263 0.512
0.259 0.107 0.845
0.816 0.237 0.988
0.959 0.737 0.488
0.211 0.393 0.655
0.184 0.763 0.012
0.745 0.683 0.913
0.621 0.512 0.740
0.379 0.488 0.260
0.255 0.317 0.087
0.789 0.607 0.345
0.659 0.183 0.413
0.872 0.988 0.760
0.790 0.948 0.959
0.302 0.448 0.459
0.698 0.552 0.541
0.210 0.052 0.041
0.008 0.750 0.250
0.992 0.250 0.750